The following is a PBE-GGA calculation of YZrH2 after structural relaxation, from Alexandria via LeMat-Bulk.

Structure (POSCAR):
```
YZrH2
1.0
3.360 0.000 0.000
-1.680 2.910 0.000
0.000 0.000 16.866
Y Zr H
3 3 6
Direct
0.000 0.000 0.000 Y
0.333 0.667 0.667 Y
0.667 0.333 0.333 Y
0.000 0.000 0.178 Zr
0.333 0.667 0.844 Zr
0.667 0.333 0.511 Zr
0.000 0.000 0.431 H
0.000 0.000 0.580 H
0.333 0.667 0.098 H
0.333 0.667 0.246 H
0.667 0.333 0.765 H
0.667 0.333 0.913 H
```

Total magnetic moment = 0.0 Bohr magnetons per cell
Space group = No. 160
Final energy = -5.634 eV per atom